Entry 1:
Density functional theory data (PBE) for a relaxed structure of ScFeNiB.

Cell lengths 5.781, 5.781, 5.781 Å; angles 90.00, 90.00, 90.00 degrees
Space group F-43m (No. 216)
Inequivalent atoms, fractional coordinates:
Sc (0.000, 0.000, 0.000) (multiplicity 4)
Fe (0.250, 0.250, 0.750) (multiplicity 4)
Ni (0.000, 0.000, 0.500) (multiplicity 4)
B (0.250, 0.250, 0.250) (multiplicity 4)

## Properties
Energy above the most stable polymorph in this dataset ... 129 meV per atom

Entry 2:
Density functional theory data (PBE) for a relaxed structure of Fe12N5.

Cell lengths 9.3560, 9.3560, 4.2978 Å; angles 90.00, 90.00, 120.00 degrees
Space group P-31m (No. 162)
Inequivalent atoms, fractional coordinates:
Fe (0.0000, 0.1661, 0.2538) (multiplicity 6)
Fe (0.0000, 0.3359, 0.7462) (multiplicity 6)
Fe (0.1736, 0.5083, 0.2482) (multiplicity 12)
N (0.0000, 0.0000, 0.0000) (multiplicity 1)
N (0.0000, 0.5000, 0.0000) (multiplicity 3)
N (0.1714, 0.3428, 0.5000) (multiplicity 6)

Entry 3:
Density functional theory data (PBE) for a relaxed structure of Al3W2.

Cell lengths 9.740, 9.740, 5.018 Å; angles 90.00, 90.00, 90.00 degrees
Space group P4_2/mnm (No. 136)
Inequivalent atoms, fractional coordinates:
Al (0.000, 0.000, 0.000) (multiplicity 2)
Al (0.037, 0.371, 0.500) (multiplicity 8)
Al (0.171, 0.829, 0.252) (multiplicity 8)
W (0.076, 0.260, 0.000) (multiplicity 8)
W (0.091, 0.091, 0.500) (multiplicity 4)

## Properties
Energy above the most stable polymorph in this dataset ... 38 meV per atom

Entry 4:
Density functional theory data (PBE) for a relaxed structure of Sb2W.

Cell lengths 3.433, 12.933, 5.972 Å; angles 90.00, 90.00, 90.00 degrees
Space group Cmc2_1 (No. 36)
Inequivalent atoms, fractional coordinates:
Sb (0.000, 0.061, 0.000) (multiplicity 4)
Sb (0.000, 0.209, 0.355) (multiplicity 4)
W (0.000, 0.401, 0.137) (multiplicity 4)

## Properties
Energy above the most stable polymorph in this dataset ... 100 meV per atom

Entry 5:
Density functional theory data (PBE) for a relaxed structure of Gd3In2NiSnIr2.

Cell lengths 3.885, 13.113, 7.519 Å; angles 90.00, 90.00, 90.00 degrees
Space group Amm2 (No. 38)
Inequivalent atoms, fractional coordinates:
Gd (0.000, 0.000, 0.000) (multiplicity 2)
Gd (0.000, 0.205, 0.382) (multiplicity 4)
In (0.500, 0.125, 0.713) (multiplicity 4)
Ni (0.000, 0.000, 0.582) (multiplicity 2)
Sn (0.500, 0.000, 0.343) (multiplicity 2)
Ir (0.500, 0.165, 0.091) (multiplicity 4)

Entry 6:
Density functional theory data (PBE) for a relaxed structure of Na2TcHgO6.

Cell lengths 9.936, 5.530, 5.384 Å; angles 90.00, 120.31, 90.00 degrees
Space group C2/m (No. 12)
Inequivalent atoms, fractional coordinates:
Na (0.247, 0.000, 0.211) (multiplicity 4)
Tc (0.000, 0.500, 0.000) (multiplicity 2)
Hg (0.000, 0.000, 0.500) (multiplicity 2)
O (0.074, 0.257, 0.843) (multiplicity 8)
O (0.194, 0.500, 0.324) (multiplicity 4)

Entry 7:
Density functional theory data (PBE) for a relaxed structure of GaSi2Hg.

Cell lengths 6.728, 6.728, 6.728 Å; angles 90.00, 90.00, 90.00 degrees
Space group F-43m (No. 216)
Inequivalent atoms, fractional coordinates:
Ga (0.000, 0.000, 0.000) (multiplicity 4)
Si (0.000, 0.000, 0.500) (multiplicity 4)
Si (0.250, 0.250, 0.750) (multiplicity 4)
Hg (0.250, 0.250, 0.250) (multiplicity 4)

Entry 8:
Density functional theory data (PBE) for a relaxed structure of HfZrCu6.

Cell lengths 4.437, 5.657, 4.550 Å; angles 90.00, 90.00, 90.00 degrees
Space group Pmm2 (No. 25)
Inequivalent atoms, fractional coordinates:
Hf (0.000, 0.000, 0.000) (multiplicity 1)
Zr (0.500, 0.500, 0.690) (multiplicity 1)
Cu (0.000, 0.255, 0.505) (multiplicity 2)
Cu (0.000, 0.500, 0.041) (multiplicity 1)
Cu (0.500, 0.000, 0.656) (multiplicity 1)
Cu (0.500, 0.237, 0.185) (multiplicity 2)

## Properties
ΔE_f ... -0.130 eV per atom

Entry 9:
Density functional theory data (PBE) for a relaxed structure of ZnI2.

Cell lengths 9.705, 9.705, 9.705 Å; angles 90.00, 90.00, 90.00 degrees
Space group Fd-3m (No. 227, origin choice 2)
Inequivalent atoms, fractional coordinates:
Zn (0.125, 0.125, 0.125) (multiplicity 8)
I (0.000, 0.000, 0.500) (multiplicity 16)

Entry 10:
Density functional theory data (PBE) for a relaxed structure of TbEr2In3AgIr2.

Cell lengths 3.814, 13.379, 7.685 Å; angles 90.00, 90.00, 90.00 degrees
Space group Amm2 (No. 38)
Inequivalent atoms, fractional coordinates:
Tb (0.000, 0.000, 0.000) (multiplicity 2)
Er (0.000, 0.206, 0.619) (multiplicity 4)
In (0.500, 0.000, 0.680) (multiplicity 2)
In (0.500, 0.135, 0.279) (multiplicity 4)
Ag (0.000, 0.000, 0.413) (multiplicity 2)
Ir (0.500, 0.168, 0.912) (multiplicity 4)

Entry 11:
Density functional theory data (PBE) for a relaxed structure of LiSi2Pd2.

Cell lengths 4.049, 4.049, 9.975 Å; angles 90.00, 90.00, 90.00 degrees
Space group I4/mmm (No. 139)
Inequivalent atoms, fractional coordinates:
Li (0.000, 0.000, 0.000) (multiplicity 2)
Si (0.000, 0.000, 0.386) (multiplicity 4)
Pd (0.000, 0.500, 0.250) (multiplicity 4)

Entry 12:
Density functional theory data (PBE) for a relaxed structure of GdTlNO.

Cell lengths 4.139, 4.139, 7.865 Å; angles 90.00, 90.00, 90.00 degrees
Space group P4/nmm (No. 129, origin choice 2)
Inequivalent atoms, fractional coordinates:
Gd (0.250, 0.250, 0.124) (multiplicity 2)
Tl (0.250, 0.750, 0.500) (multiplicity 2)
N (0.250, 0.250, 0.677) (multiplicity 2)
O (0.250, 0.750, 0.000) (multiplicity 2)

## Properties
Energy above the most stable polymorph in this dataset ... 220 meV per atom

Entry 13:
Density functional theory data (PBE) for a relaxed structure of PrTcB.

Cell lengths 6.302, 6.302, 6.302 Å; angles 90.00, 90.00, 90.00 degrees
Space group F-43m (No. 216)
Inequivalent atoms, fractional coordinates:
Pr (0.000, 0.000, 0.000) (multiplicity 4)
Tc (0.250, 0.250, 0.250) (multiplicity 4)
B (0.250, 0.250, 0.750) (multiplicity 4)

## Properties
Energy above the most stable polymorph in this dataset ... 1316 meV per atom

Entry 14:
Density functional theory data (PBE) for a relaxed structure of Sm3Tm2Bi3.

Cell lengths 9.2282, 9.2282, 6.4333 Å; angles 90.00, 90.00, 120.00 degrees
Space group P6_3/mcm (No. 193)
Inequivalent atoms, fractional coordinates:
Sm (0.0000, 0.2452, 0.2500) (multiplicity 6)
Tm (0.3333, 0.6667, 0.0000) (multiplicity 4)
Bi (0.0000, 0.3931, 0.7500) (multiplicity 6)

Entry 15:
Density functional theory data (PBE) for a relaxed structure of RbTmCdS3.

Cell lengths 17.156, 4.047, 8.975 Å; angles 90.00, 102.76, 90.00 degrees
Space group C2/m (No. 12)
Inequivalent atoms, fractional coordinates:
Rb (0.148, 0.000, 0.063) (multiplicity 4)
Tm (0.169, 0.000, 0.578) (multiplicity 4)
Cd (0.004, 0.500, 0.720) (multiplicity 4)
S (0.000, 0.000, 0.500) (multiplicity 2)
S (0.000, 0.500, 0.000) (multiplicity 2)
S (0.161, 0.500, 0.769) (multiplicity 4)
S (0.169, 0.500, 0.372) (multiplicity 4)

Entry 16:
Density functional theory data (PBE) for a relaxed structure of ZrZnCdCo.

Cell lengths 6.455, 6.455, 6.455 Å; angles 90.00, 90.00, 90.00 degrees
Space group F-43m (No. 216)
Inequivalent atoms, fractional coordinates:
Zr (0.000, 0.000, 0.000) (multiplicity 4)
Zn (0.000, 0.000, 0.500) (multiplicity 4)
Cd (0.250, 0.250, 0.250) (multiplicity 4)
Co (0.250, 0.250, 0.750) (multiplicity 4)

## Properties
Energy above the most stable polymorph in this dataset ... 0 meV per atom
ΔE_f ... 0.022 eV per atom

Entry 17:
Density functional theory data (PBE) for a relaxed structure of TbSiAsO.

Cell lengths 3.942, 5.809, 6.098 Å; angles 90.00, 90.00, 90.00 degrees
Space group Pmc2_1 (No. 26)
Inequivalent atoms, fractional coordinates:
Tb (0.000, 0.240, 0.000) (multiplicity 2)
Si (0.500, 0.366, 0.377) (multiplicity 2)
As (0.500, 0.089, 0.681) (multiplicity 2)
O (0.000, 0.400, 0.344) (multiplicity 2)

## Properties
Energy above the most stable polymorph in this dataset ... 160 meV per atom

Entry 18:
Density functional theory data (PBE) for a relaxed structure of PuFeRe.

Cell lengths 5.954, 5.954, 5.954 Å; angles 90.00, 90.00, 90.00 degrees
Space group F-43m (No. 216)
Inequivalent atoms, fractional coordinates:
Pu (0.000, 0.000, 0.000) (multiplicity 4)
Fe (0.250, 0.250, 0.750) (multiplicity 4)
Re (0.250, 0.250, 0.250) (multiplicity 4)

## Properties
Energy above the most stable polymorph in this dataset ... 395 meV per atom
ΔE_f ... 1.214 eV per atom

Entry 19:
Density functional theory data (PBE) for a relaxed structure of HgPdW.

Cell lengths 6.150, 6.150, 6.150 Å; angles 90.00, 90.00, 90.00 degrees
Space group F-43m (No. 216)
Inequivalent atoms, fractional coordinates:
Hg (0.000, 0.000, 0.000) (multiplicity 4)
Pd (0.250, 0.250, 0.250) (multiplicity 4)
W (0.000, 0.000, 0.500) (multiplicity 4)

## Properties
Energy above the most stable polymorph in this dataset ... 0 meV per atom
ΔE_f ... 0.778 eV per atom

Entry 20:
Density functional theory data (PBE) for a relaxed structure of Tb2GdGa3CuNi2.

Cell lengths 3.745, 12.386, 7.153 Å; angles 90.00, 90.00, 90.00 degrees
Space group Amm2 (No. 38)
Inequivalent atoms, fractional coordinates:
Tb (0.000, 0.206, 0.000) (multiplicity 4)
Gd (0.000, 0.000, 0.382) (multiplicity 2)
Ga (0.500, 0.000, 0.048) (multiplicity 2)
Ga (0.500, 0.128, 0.667) (multiplicity 4)
Cu (0.000, 0.000, 0.795) (multiplicity 2)
Ni (0.500, 0.167, 0.294) (multiplicity 4)

| no. | density (g cm⁻³) | energy (eV/cell) |
| --- | --- | --- |
| 1 | 5.9 | -104.18 |
| 2 | 7.5 | -284.69 |
| 3 | 9.4 | -221.48 |
| 4 | 10.7 | -80.68 |
| 5 | 11.0 | -105.99 |
| 6 | 5.7 | -106.78 |
| 7 | 7.1 | -48.46 |
| 8 | 9.5 | -41.84 |
| 9 | 4.6 | -20.64 |
| 10 | 11.3 | -96.03 |
| 11 | 5.6 | -51.52 |
| 12 | 9.7 | -47.71 |
| 13 | 6.6 | -65.34 |
| 14 | 9.9 | -81.91 |
| 15 | 5.1 | -107.27 |
| 16 | 8.1 | -70.90 |
| 17 | 6.6 | -49.88 |
| 18 | 15.3 | -124.86 |
| 19 | 14.0 | -64.39 |
| 20 | 8.7 | -86.18 |